No. 1
{"formula": "Li3Ac2Pb5", "functional": "PBE", "state": "relaxed", "e_form_ev_per_atom": -0.393, "vol_a3_per_atom": 27.93, "lattice_angstrom": [[6.6495, -7.1975, 0.0000], [6.6495, 7.1975, 0.0000], [-3.4303, 0.0000, 5.8363]], "species": ["Li", "Li", "Li", "Li", "Li", "Li", "Ac", "Ac", "Ac", "Ac", "Pb", "Pb", "Pb", "Pb", "Pb", "Pb", "Pb", "Pb", "Pb", "Pb"], "fractional_positions": [[0.0000, 0.0000, 0.2500], [0.0000, 0.0000, 0.7500], [0.2675, 0.5522, 0.9091], [0.4478, 0.7325, 0.5909], [0.5522, 0.2675, 0.4091], [0.7325, 0.4478, 0.0909], [0.1291, 0.4072, 0.2683], [0.4072, 0.1291, 0.7683], [0.5928, 0.8709, 0.2317], [0.8709, 0.5928, 0.7317], [0.0887, 0.2729, 0.6806], [0.2174, 0.7826, 0.2500], [0.2167, 0.7833, 0.7500], [0.2729, 0.0887, 0.1806], [0.4997, 0.5003, 0.2500], [0.5003, 0.4997, 0.7500], [0.7271, 0.9113, 0.8194], [0.7833, 0.2167, 0.2500], [0.7826, 0.2174, 0.7500], [0.9113, 0.7271, 0.3194]]}

=====

No. 2
{"formula": "InSb2HF", "functional": "PBE", "state": "relaxed", "vol_a3_per_atom": 19.48, "lattice_angstrom": [[4.4292, 0.0000, 0.0000], [0.0000, 4.4292, 0.0000], [0.0000, 0.0000, 4.9647]], "species": ["In", "Sb", "Sb", "H", "F"], "fractional_positions": [[0.0000, 0.0000, 0.0000], [0.0000, 0.5000, 0.5000], [0.5000, 0.0000, 0.5000], [0.5000, 0.5000, 0.5000], [0.5000, 0.5000, 0.0000]]}

=====

No. 3
{"formula": "TlOs3", "functional": "PBE", "state": "relaxed", "e_form_ev_per_atom": 0.787, "vol_a3_per_atom": 16.76, "lattice_angstrom": [[2.7838, 0.0000, 0.0000], [0.0000, 3.7665, 0.0000], [0.0000, 0.0000, 6.3949]], "species": ["Tl", "Os", "Os", "Os"], "fractional_positions": [[0.0000, 0.0000, 0.0000], [0.0000, 0.0000, 0.5000], [0.5000, 0.5000, 0.2948], [0.5000, 0.5000, 0.7052]]}

=====

No. 4
{"formula": "Nd8Ge3Se4O", "functional": "PBE", "state": "relaxed", "formation_energy_uncorrected_ev_per_atom": -1.570, "vol_a3_per_atom": 26.31, "lattice_angstrom": [[7.2463, -4.1826, 0.0000], [7.2463, 4.1826, 0.0000], [-4.8302, 0.0000, 6.9436]], "species": ["Nd", "Nd", "Nd", "Nd", "Nd", "Nd", "Nd", "Nd", "Ge", "Ge", "Ge", "Se", "Se", "Se", "Se", "O"], "fractional_positions": [[0.2371, 0.7549, 0.7292], [0.2382, 0.2382, 0.7302], [0.2451, 0.7629, 0.2708], [0.2520, 0.2520, 0.2559], [0.7480, 0.7480, 0.7441], [0.7549, 0.2371, 0.7292], [0.7618, 0.7618, 0.2698], [0.7629, 0.2451, 0.2708], [0.0000, 0.5000, 0.5000], [0.5000, 0.0000, 0.5000], [0.5000, 0.5000, 0.5000], [0.0000, 0.0000, 0.0000], [0.0000, 0.5000, 0.0000], [0.5000, 0.0000, 0.0000], [0.5000, 0.5000, 0.0000], [0.0000, 0.0000, 0.5000]]}

=====

No. 5
{"formula": "Nd4ErTm", "functional": "PBE", "state": "relaxed", "e_form_ev_per_atom": 0.058, "vol_a3_per_atom": 33.53, "lattice_angstrom": [[6.0911, -2.8679, 0.0000], [6.0911, 2.8679, 0.0000], [-3.9352, 0.0000, 11.5165]], "species": ["Nd", "Nd", "Nd", "Nd", "Nd", "Nd", "Nd", "Nd", "Er", "Er", "Tm", "Tm"], "fractional_positions": [[0.0621, 0.5050, 0.7167], [0.1967, 0.7031, 0.5496], [0.2969, 0.8033, 0.9504], [0.4950, 0.9379, 0.7833], [0.5050, 0.0621, 0.2167], [0.7031, 0.1967, 0.0496], [0.8033, 0.2969, 0.4504], [0.9379, 0.4950, 0.2833], [0.2451, 0.7549, 0.2500], [0.7549, 0.2451, 0.7500], [0.0000, 0.5000, 0.0000], [0.5000, 0.0000, 0.5000]]}

=====

No. 6
{"formula": "CsCuN", "functional": "PBE", "state": "relaxed", "formation_energy_uncorrected_ev_per_atom": 0.329, "vol_a3_per_atom": 23.06, "lattice_angstrom": [[11.7173, 0.0000, 0.0000], [0.0000, 3.6385, 0.0000], [0.0000, 0.0000, 6.4897]], "species": ["Cs", "Cs", "Cs", "Cs", "Cu", "Cu", "Cu", "Cu", "N", "N", "N", "N"], "fractional_positions": [[0.1565, 0.2500, 0.0859], [0.3435, 0.7500, 0.5859], [0.6565, 0.2500, 0.4141], [0.8435, 0.7500, 0.9141], [0.0601, 0.2500, 0.5900], [0.4399, 0.7500, 0.0900], [0.5601, 0.2500, 0.9100], [0.9399, 0.7500, 0.4100], [0.0789, 0.7500, 0.6273], [0.4211, 0.2500, 0.1273], [0.5789, 0.7500, 0.8727], [0.9211, 0.2500, 0.3727]]}

=====

| no. | E_tot (eV/atom) | density (kg/m3) |
| --- | --- | --- |
| 1 | -3.64 | 8982 |
| 2 | -3.36 | 6450 |
| 3 | -8.23 | 19195 |
| 4 | -6.00 | 6721 |
| 5 | -4.63 | 7537 |
| 6 | -4.10 | 5052 |